## Ce2SnO (PBE-GGA)

Data for Ce2SnO after structural relaxation.

a b c (Å): 3.1991 3.1991 7.9700
angles (deg): 90.00 90.00 90.00
Closest atoms and distances in Å follow each position.
Sites, in units of the cell vectors:
Ce 0.0000 0.0000 0.1940  4 O 2.74
Ce 0.0000 0.0000 0.8060  4 O 2.74
Sn 0.5000 0.5000 0.5000  4 Sn 3.20, 8 Ce 3.33
O 0.5000 0.5000 0.0000  8 Ce 2.74

Summary:
* total magnetization: 2.2 μB per cell
* polymorph energy (0 for the lowest one): 0.299 eV/atom
* crystal system: tetragonal
* raw formation energy: -501.2 kJ/mol of formula units